No. 1
The following is a PBE calculation of an optimized crystal structure of Mg3MoPb, from Alexandria via LeMat-Bulk.

Relative energy among the computed polymorphs (eV per atom): 0.0000
Energy (eV/cell): -14.7
Energy relative to the elements (eV per atom): 0.919
Size of the total moment (μB/cell): 1.7

```
data_Mg3MoPb
_chemical_formula_sum 'Mg3 Mo1 Pb1'
_symmetry_space_group_name_H-M 'P m -3 m'
_symmetry_Int_Tables_number 221
_symmetry_space_group_name_Hall '-P 4 2 3'
_cell_length_a 5.2115
_cell_length_b 5.2115
_cell_length_c 5.2115
_cell_angle_alpha 90.00
_cell_angle_beta 90.00
_cell_angle_gamma 90.00
loop_
_atom_site_label
_atom_site_type_symbol
_atom_site_fract_x
_atom_site_fract_y
_atom_site_fract_z
Mg1 Mg 0.0000 0.0000 0.5000
Mo1 Mo 0.0000 0.0000 0.0000
Pb1 Pb 0.5000 0.5000 0.5000
```

***

No. 2
The following is a PBE calculation of an optimized crystal structure of Mg2ReMoPb, from Alexandria via LeMat-Bulk.

Energy (eV/cell): -20.0
Energy relative to the elements (eV per atom): 2.036
Size of the total moment (μB/cell): 0.8

```
data_Mg2ReMoPb
_chemical_formula_sum 'Mg2 Re1 Mo1 Pb1'
_symmetry_space_group_name_H-M 'P 4/m m m'
_symmetry_Int_Tables_number 123
_symmetry_space_group_name_Hall '-P 4 2'
_cell_length_a 5.0732
_cell_length_b 5.0732
_cell_length_c 5.2975
_cell_angle_alpha 90.00
_cell_angle_beta 90.00
_cell_angle_gamma 90.00
loop_
_atom_site_label
_atom_site_type_symbol
_atom_site_fract_x
_atom_site_fract_y
_atom_site_fract_z
Mg1 Mg 0.0000 0.5000 0.0000
Re1 Re 0.0000 0.0000 0.5000
Mo1 Mo 0.5000 0.5000 0.5000
Pb1 Pb 0.5000 0.5000 0.0000
```

***

No. 3
The following is a PBE calculation of an optimized crystal structure of MgSiMoPb2, from Alexandria via LeMat-Bulk.

E_form (uncorrected) (eV per atom): 0.82
Energy (eV/cell): -21.2
Size of the total moment (μB/cell): 1.9

```
data_MgSiMoPb2
_chemical_formula_sum 'Mg1 Si1 Mo1 Pb2'
_symmetry_space_group_name_H-M 'P 4/m m m'
_symmetry_Int_Tables_number 123
_symmetry_space_group_name_Hall '-P 4 2'
_cell_length_a 5.4374
_cell_length_b 5.4374
_cell_length_c 4.7238
_cell_angle_alpha 90.00
_cell_angle_beta 90.00
_cell_angle_gamma 90.00
loop_
_atom_site_label
_atom_site_type_symbol
_atom_site_fract_x
_atom_site_fract_y
_atom_site_fract_z
Mg1 Mg 0.0000 0.0000 0.0000
Si1 Si 0.5000 0.5000 0.5000
Mo1 Mo 0.5000 0.5000 0.0000
Pb1 Pb 0.0000 0.5000 0.5000
```

***

No. 4
The following is a PBE calculation of an optimized crystal structure of MgTaMo2Pb, from Alexandria via LeMat-Bulk.

Energy (eV/cell): -27.8
Energy relative to the elements (eV per atom): 2.210
Size of the total moment (μB/cell): 1.3

```
data_MgTaMo2Pb
_chemical_formula_sum 'Mg1 Ta1 Mo2 Pb1'
_symmetry_space_group_name_H-M 'P 4/m m m'
_symmetry_Int_Tables_number 123
_symmetry_space_group_name_Hall '-P 4 2'
_cell_length_a 5.0654
_cell_length_b 5.0654
_cell_length_c 4.7326
_cell_angle_alpha 90.00
_cell_angle_beta 90.00
_cell_angle_gamma 90.00
loop_
_atom_site_label
_atom_site_type_symbol
_atom_site_fract_x
_atom_site_fract_y
_atom_site_fract_z
Mg1 Mg 0.0000 0.0000 0.0000
Ta1 Ta 0.5000 0.5000 0.0000
Mo1 Mo 0.0000 0.5000 0.5000
Pb1 Pb 0.0000 0.0000 0.5000
```

***

No. 5
The following is a PBE calculation of an optimized crystal structure of MgTc2MoPb, from Alexandria via LeMat-Bulk.

Energy (eV/cell): -24.8
Energy relative to the elements (eV per atom): 2.406
Size of the total moment (μB/cell): 2.9

```
data_MgTc2MoPb
_chemical_formula_sum 'Mg1 Tc2 Mo1 Pb1'
_symmetry_space_group_name_H-M 'P 4/m m m'
_symmetry_Int_Tables_number 123
_symmetry_space_group_name_Hall '-P 4 2'
_cell_length_a 4.9713
_cell_length_b 4.9713
_cell_length_c 4.8493
_cell_angle_alpha 90.00
_cell_angle_beta 90.00
_cell_angle_gamma 90.00
loop_
_atom_site_label
_atom_site_type_symbol
_atom_site_fract_x
_atom_site_fract_y
_atom_site_fract_z
Mg1 Mg 0.0000 0.0000 0.0000
Tc1 Tc 0.0000 0.5000 0.5000
Mo1 Mo 0.5000 0.5000 0.0000
Pb1 Pb 0.0000 0.0000 0.5000
```

***

No. 6
The following is a PBE calculation of an optimized crystal structure of Mg2MoPd2, from Alexandria via LeMat-Bulk.

Relative energy among the computed polymorphs (eV per atom): 0.3716
Energy (eV/cell): -45.9
Energy relative to the elements (eV per atom): 0.292
Size of the total moment (μB/cell): 4.4

```
data_Mg2MoPd2
_chemical_formula_sum 'Mg4 Mo2 Pd4'
_symmetry_space_group_name_H-M 'I 4/m m m'
_symmetry_Int_Tables_number 139
_symmetry_space_group_name_Hall '-I 4 2'
_cell_length_a 3.7904
_cell_length_b 3.7904
_cell_length_c 12.4337
_cell_angle_alpha 90.00
_cell_angle_beta 90.00
_cell_angle_gamma 90.00
loop_
_atom_site_label
_atom_site_type_symbol
_atom_site_fract_x
_atom_site_fract_y
_atom_site_fract_z
Mg1 Mg 0.0000 0.5000 0.2500
Mo1 Mo 0.0000 0.0000 0.0000
Pd1 Pd 0.0000 0.0000 0.3977
```

***

No. 7
The following is a PBE calculation of an optimized crystal structure of MgMoPd3, from Alexandria via LeMat-Bulk.

Relative energy among the computed polymorphs (eV per atom): 0.0488
Energy (eV/cell): -23.8
Energy relative to the elements (eV per atom): 0.849
Size of the total moment (μB/cell): 4.1

```
data_MgMoPd3
_chemical_formula_sum 'Mg1 Mo1 Pd3'
_symmetry_space_group_name_H-M 'P m -3 m'
_symmetry_Int_Tables_number 221
_symmetry_space_group_name_Hall '-P 4 2 3'
_cell_length_a 4.5619
_cell_length_b 4.5619
_cell_length_c 4.5619
_cell_angle_alpha 90.00
_cell_angle_beta 90.00
_cell_angle_gamma 90.00
loop_
_atom_site_label
_atom_site_type_symbol
_atom_site_fract_x
_atom_site_fract_y
_atom_site_fract_z
Mg1 Mg 0.0000 0.0000 0.0000
Mo1 Mo 0.5000 0.5000 0.5000
Pd1 Pd 0.0000 0.0000 0.5000
```

***

No. 8
The following is a PBE calculation of an optimized crystal structure of Mg3MoPd, from Alexandria via LeMat-Bulk.

Relative energy among the computed polymorphs (eV per atom): 0.0000
Energy (eV/cell): -17.9
Energy relative to the elements (eV per atom): 0.583
Size of the total moment (μB/cell): 3.9

```
data_Mg3MoPd
_chemical_formula_sum 'Mg3 Mo1 Pd1'
_symmetry_space_group_name_H-M 'P m -3 m'
_symmetry_Int_Tables_number 221
_symmetry_space_group_name_Hall '-P 4 2 3'
_cell_length_a 4.8986
_cell_length_b 4.8986
_cell_length_c 4.8986
_cell_angle_alpha 90.00
_cell_angle_beta 90.00
_cell_angle_gamma 90.00
loop_
_atom_site_label
_atom_site_type_symbol
_atom_site_fract_x
_atom_site_fract_y
_atom_site_fract_z
Mg1 Mg 0.0000 0.0000 0.5000
Mo1 Mo 0.5000 0.5000 0.5000
Pd1 Pd 0.0000 0.0000 0.0000
```